Record 1
Material: SmAl2FeBOs
Method: DFT, PBE
State: optimized geometry

Calculated values
Magnetic moment: 0.16 μB per cell
Density: 8.15 Mg/m³
E_tot: -6.8798 eV per atom
SG: No. 47

a b c (Å): 4.1043 4.1276 5.5467
angles (deg): 90.00 90.00 90.00
Site moments in Bohr magnetons follow the coordinates.
Atoms (fractional coordinates):
Al 0.5000 0.5000 0.2605  0.00
Al 0.5000 0.5000 0.7395  0.00
B 0.0000 0.0000 0.0000  -0.01
Fe 0.5000 0.0000 0.0000  0.17
Os 0.0000 0.5000 0.0000  0.00
Sm 0.0000 0.0000 0.5000  -0.01



Record 2
Material: Hf4AlSN2
Method: DFT, PBE
State: optimized geometry

Calculated values
Magnetic moment: 0.00 μB per cell
Density: 11.08 Mg/m³
E_tot: -9.3463 eV per atom
SG: No. 187

a b c (Å): 3.2499 3.2499 13.1284
angles (deg): 90.00 90.00 120.00
Atoms (fractional coordinates):
N 0.3333 0.6667 0.7353
N 0.3333 0.6667 0.2647
Hf 0.0000 0.0000 0.3611
Hf 0.6667 0.3333 0.8280
Hf 0.6667 0.3333 0.1720
Hf 0.0000 0.0000 0.6389
S 0.6667 0.3333 0.5000
Al 0.0000 0.0000 0.0000



Record 3
Material: ScSiIr2
Method: DFT, PBE
State: optimized geometry

Calculated values
Magnetic moment: 0.27 μB per cell
Density: 12.16 Mg/m³
E_tot: -7.6021 eV per atom
SG: No. 216

a b c (Å): 4.4538 4.4538 4.4538
angles (deg): 60.00 60.00 60.00
Site moments in Bohr magnetons follow the coordinates.
Atoms (fractional coordinates):
Ir 0.0000 0.0000 0.0000  0.10
Ir 0.7500 0.7500 0.7500  0.14
Si 0.5000 0.5000 0.5000  0.00
Sc 0.2500 0.2500 0.2500  0.02



Record 4
Material: SrGd
Method: DFT, PBE
State: optimized geometry

Calculated values
Magnetic moment: 0.01 μB per cell
Energy above the lowest structure with this stoichiometry: 151.44 kJ/mol of atoms
Density: 3.21 Mg/m³
E_tot: -1.3722 eV per atom
SG: No. 216

a b c (Å): 5.6375 5.6375 5.6375
angles (deg): 60.00 60.00 60.00
Atoms (fractional coordinates):
Gd 0.0000 0.0000 0.0000
Sr 0.2500 0.2500 0.2500



Record 5
Material: CsAuS2O8
Method: DFT, PBE
State: optimized geometry

Calculated values
Density: 4.66 Mg/m³
E_tot: -5.5419 eV per atom
SG: No. 14

a b c (Å): 10.1953 8.7156 8.9793
angles (deg): 90.00 111.15 90.00
Atoms (fractional coordinates):
Au 0.2818 0.8557 0.8648
Au 0.7182 0.3557 0.6352
Au 0.7182 0.1443 0.1352
Au 0.2818 0.6443 0.3648
O 0.8762 0.0946 0.8960
O 0.1035 0.8689 0.6688
O 0.1238 0.5946 0.6040
O 0.8090 0.3032 0.0389
O 0.9425 0.7694 0.4269
O 0.5434 0.3987 0.1611
O 0.6120 0.6009 0.3658
O 0.4566 0.8987 0.3389
O 0.6335 0.5001 0.7544
O 0.5469 0.1559 0.9310
O 0.8090 0.1968 0.5389
O 0.6120 0.8991 0.8658
O 0.4566 0.6013 0.8389
O 0.0575 0.2306 0.5731
O 0.3665 0.4999 0.2456
O 0.3665 0.0001 0.7456
O 0.8762 0.4054 0.3960
O 0.5434 0.1013 0.6611
O 0.5469 0.3441 0.4310
O 0.3880 0.3991 0.6342
O 0.4531 0.8441 0.0690
O 0.8965 0.3689 0.8312
O 0.1238 0.9054 0.1040
O 0.6335 0.9999 0.2544
O 0.4531 0.6559 0.5690
O 0.0575 0.2694 0.0731
O 0.1910 0.6968 0.9611
O 0.8965 0.1311 0.3312
O 0.1035 0.6311 0.1688
O 0.1910 0.8032 0.4611
O 0.9425 0.7306 0.9269
O 0.3880 0.1009 0.1342
S 0.9154 0.2454 0.9628
S 0.0846 0.7454 0.5372
S 0.5269 0.0325 0.8003
S 0.9154 0.2546 0.4628
S 0.5269 0.4675 0.3003
S 0.4731 0.5325 0.6997
S 0.4731 0.9675 0.1997
S 0.0846 0.7546 0.0372
Cs 0.2483 0.3533 0.8887
Cs 0.7517 0.8533 0.6113
Cs 0.7517 0.6467 0.1113
Cs 0.2483 0.1467 0.3887



Record 6
Material: BaZnSO
Method: DFT, PBE
State: optimized geometry

Calculated values
Density: 5.04 Mg/m³
E_tot: -4.6142 eV per atom
SG: No. 129

a b c (Å): 4.5826 4.5826 7.8674
angles (deg): 90.00 90.00 90.00
Atoms (fractional coordinates):
O 0.7500 0.7500 0.1345
O 0.2500 0.2500 0.8655
Zn 0.2500 0.2500 0.6222
Zn 0.7500 0.7500 0.3778
S 0.2500 0.7500 0.5000
S 0.7500 0.2500 0.5000
Ba 0.2500 0.2500 0.1784
Ba 0.7500 0.7500 0.8216